Ge2PbO | PBE | relaxed

Properties
For the relative energy among the computed polymorphs, the calculation gives 0.5425 eV/atom. As for the space group: Fm-3m, No. 225. As for the formation energy (no corrections): 40.93 kJ/mol of atoms. As for the total energy: -4.051 eV/atom.

a = 4.7551 Å, b = 4.7551 Å, c = 4.7551 Å
α = 60.00°, β = 60.00°, γ = 60.00°
With the nearest neighbours (Å) after each atom.
Fractional positions:
Ge1 0.7500 0.7500 0.7500  4 O 2.91, 4 Pb 2.91
Ge2 0.2500 0.2500 0.2500  4 Pb 2.91, 4 O 2.91
O1 0.0000 0.0000 0.0000  8 Ge 2.91
Pb1 0.5000 0.5000 0.5000  8 Ge 2.91